Rb3YI: relaxed, GGA-PBE.

Properties
The space group is Pm-3m, No. 221. The calculation puts the distance to the lowest polymorph of the same formula at 0.0 meV per atom. For the mass density, the calculation gives 2.3 g/cm³.

Cell lengths 7.0130, 7.0130, 7.0130 Å; angles 90.00, 90.00, 90.00 degrees
Last column: nearest neighbours and their distance in Å.
Fractional coordinates of all 5 atoms:
I (0.0000, 0.0000, 0.0000)  6 Rb 3.51
Rb (0.5000, 0.0000, 0.0000)  2 I 3.51
Rb (0.0000, 0.5000, 0.0000)  2 I 3.51
Y (0.5000, 0.5000, 0.5000)  12 Rb 4.96
Rb (0.0000, 0.0000, 0.5000)  2 I 3.51

MnPtBr: relaxed, GGA-PBE.

Properties
The space group is F-43m, No. 216. The calculation puts the distance to the lowest polymorph of the same formula at 353.2 meV per atom. For the mass density, the calculation gives 9.0 g/cm³.

Cell lengths 4.4230, 4.4230, 4.4230 Å; angles 60.00, 60.00, 60.00 degrees
Last column: nearest neighbours and their distance in Å.
Fractional coordinates of all 3 atoms:
Mn (0.7500, 0.7500, 0.7500)  4 Br 2.71, 4 Pt 2.71
Pt (0.0000, 0.0000, 0.0000)  4 Mn 2.71
Br (0.5000, 0.5000, 0.5000)  4 Mn 2.71

AcInSn2: relaxed, GGA-PBE.

Properties
The space group is P4/mmm, No. 123. For the mass density, the calculation gives 8.0 g/cm³. For the total energy, the calculation gives -4.06 eV per atom.

Cell lengths 4.1108, 4.1108, 7.1437 Å; angles 90.00, 90.00, 90.00 degrees
Last column: nearest neighbours and their distance in Å.
Fractional coordinates of all 4 atoms:
Sn (0.0000, 0.0000, 0.7915)  1 Sn 2.98, 4 In 3.27
Ac (0.5000, 0.5000, 0.5000)  2 In 3.57, 8 Sn 3.58
In (0.5000, 0.5000, 0.0000)  8 Sn 3.27, 2 Ac 3.57
Sn (0.0000, 0.0000, 0.2085)  1 Sn 2.98, 4 In 3.27